{
  "formula": "Sm2Al4Ni3Au",
  "functional": "GGA-PBE",
  "state": "optimized geometry",
  "formation_enthalpy_0k_ev_per_fu": -5.939,
  "lattice_angstrom": [[4.1278, 0.0000, 0.0000], [0.0000, 4.1278, 0.0000], [0.0000, 0.0000, 10.4295]],
  "species": ["Al", "Al", "Al", "Al", "Ni", "Au", "Ni", "Ni", "Sm", "Sm"],
  "frac_coords": [[0.5000, 0.5000, 0.0000], [0.5000, 0.0000, 0.6394], [0.0000, 0.0000, 0.0000], [0.0000, 0.5000, 0.3606], [0.0000, 0.0000, 0.5000], [0.5000, 0.5000, 0.5000], [0.5000, 0.0000, 0.8704], [0.0000, 0.5000, 0.1296], [0.0000, 0.5000, 0.7606], [0.5000, 0.0000, 0.2394]]
}

{
  "formula": "SmAl4NiAu2",
  "functional": "GGA-PBE",
  "state": "optimized geometry",
  "formation_enthalpy_0k_ev_per_fu": -4.139,
  "lattice_angstrom": [[4.3342, 0.0000, 0.0000], [2.1671, 3.7535, 0.0000], [2.1671, 1.2512, 8.7275]],
  "species": ["Ni", "Al", "Au", "Sm", "Al", "Au", "Al", "Al"],
  "frac_coords": [[0.5000, 0.5000, 0.5000], [0.1360, 0.1360, 0.5919], [0.7573, 0.7573, 0.7280], [0.0000, 0.0000, 0.0000], [0.4055, 0.4055, 0.7836], [0.2427, 0.2427, 0.2720], [0.5945, 0.5945, 0.2164], [0.8640, 0.8640, 0.4081]]
}

{
  "formula": "SmAl3NiAu",
  "functional": "GGA-PBE",
  "state": "optimized geometry",
  "formation_enthalpy_0k_ev_per_fu": -2.729,
  "lattice_angstrom": [[5.9212, 0.0000, 0.0000], [0.0000, 6.1282, 0.0000], [0.0000, -3.0641, 6.1469]],
  "species": ["Al", "Ni", "Au", "Al", "Al", "Sm", "Ni", "Al", "Sm", "Al", "Au", "Al"],
  "frac_coords": [[0.7500, 0.8646, 0.7292], [0.2500, 0.9372, 0.8744], [0.2500, 0.3467, 0.6933], [0.5000, 0.7169, 0.0000], [0.0000, 0.2831, 0.0000], [0.7500, 0.2756, 0.5512], [0.7500, 0.0628, 0.1256], [0.2500, 0.1354, 0.2708], [0.2500, 0.7244, 0.4488], [0.5000, 0.2831, 0.0000], [0.7500, 0.6533, 0.3067], [0.0000, 0.7169, 0.0000]]
}

{
  "formula": "TbAl3NiAu",
  "functional": "GGA-PBE",
  "state": "optimized geometry",
  "formation_enthalpy_0k_ev_per_fu": -2.756,
  "lattice_angstrom": [[5.8254, 0.0000, 0.0000], [0.0000, 6.0967, 0.0000], [0.0000, -3.0483, 6.1535]],
  "species": ["Ni", "Al", "Al", "Al", "Al", "Tb", "Au", "Al", "Al", "Tb", "Ni", "Au"],
  "frac_coords": [[0.7500, 0.0667, 0.1334], [0.0000, 0.2837, 0.0000], [0.5000, 0.7163, 0.0000], [0.5000, 0.2837, 0.0000], [0.0000, 0.7163, 0.0000], [0.7500, 0.2774, 0.5547], [0.7500, 0.6555, 0.3110], [0.2500, 0.1341, 0.2683], [0.7500, 0.8659, 0.7317], [0.2500, 0.7226, 0.4453], [0.2500, 0.9333, 0.8666], [0.2500, 0.3445, 0.6890]]
}

{
  "formula": "Tb2Al4NiAu3",
  "functional": "GGA-PBE",
  "state": "optimized geometry",
  "formation_enthalpy_0k_ev_per_fu": -6.760,
  "lattice_angstrom": [[-2.4525, 1.3049, 3.2304], [-1.6143, -3.9265, 0.3605], [7.6548, -2.5200, 6.8295]],
  "species": ["Au", "Al", "Ni", "Al", "Au", "Al", "Al", "Tb", "Tb", "Au"],
  "frac_coords": [[0.0000, 0.0000, 0.5000], [0.0000, 0.5000, 0.3777], [0.5000, 0.5000, 0.5000], [0.5000, 0.5000, 0.0000], [0.5000, 0.0000, 0.8595], [0.5000, 0.0000, 0.6223], [0.0000, 0.0000, 0.0000], [0.5000, 0.0000, 0.2590], [0.0000, 0.5000, 0.7410], [0.0000, 0.5000, 0.1405]]
}

{
  "formula": "TbAlNiAu",
  "functional": "GGA-PBE",
  "state": "optimized geometry",
  "formation_enthalpy_0k_ev_per_fu": -2.034,
  "lattice_angstrom": [[4.6849, 0.0000, 0.0000], [2.3425, 4.0572, 0.0000], [2.3425, 1.3524, 3.8252]],
  "species": ["Ni", "Au", "Tb", "Al"],
  "frac_coords": [[0.0000, 0.0000, 0.0000], [0.5000, 0.5000, 0.5000], [0.7500, 0.7500, 0.7500], [0.2500, 0.2500, 0.2500]]
}

Number 1: uncorrected energy -5.097 eV/atom. Number 2: uncorrected energy -4.521 eV/atom. Number 3: uncorrected energy -4.622 eV/atom. Number 4: uncorrected energy -4.612 eV/atom. Number 5: uncorrected energy -4.660 eV/atom. Number 6: uncorrected energy -4.866 eV/atom.